1.
Density functional theory data (PBE) for a relaxed LiBiPt4 crystal.

The crystal system is cubic. For the formation energy, the calculation gives -0.289 eV/atom.

a = 5.3839 Å, b = 5.3839 Å, c = 5.3839 Å
α = 60.00°, β = 60.00°, γ = 60.00°
Closest atoms and distances in Å follow each position.
Atoms (fractional coordinates):
Li: 0.0000 0.0000 0.0000  12 Pt 3.16, 4 Bi 3.30
Bi: 0.2500 0.2500 0.2500  12 Pt 3.16, 4 Li 3.30
Pt: 0.1240 0.6253 0.6253  6 Pt 2.68-2.70
Pt: 0.6253 0.1240 0.6253  6 Pt 2.68-2.70
Pt: 0.6253 0.6253 0.1240  6 Pt 2.68-2.70
Pt: 0.6253 0.6253 0.6253  6 Pt 2.68-2.70



2.
Density functional theory data (PBE) for a relaxed NaTaZn2Ga crystal.

The crystal system is tetragonal. For the formation energy, the calculation gives 1.235 eV/atom.

a = 5.0986 Å, b = 5.0986 Å, c = 5.8412 Å
α = 90.00°, β = 90.00°, γ = 90.00°
Closest atoms and distances in Å follow each position.
Atoms (fractional coordinates):
Na: 0.0000 0.0000 0.0000  2 Ta 2.92
Ta: 0.0000 0.0000 0.5000  4 Zn 2.55
Zn: 0.0000 0.5000 0.5000  2 Ta 2.55
Zn: 0.5000 0.0000 0.5000  2 Ta 2.55
Ga: 0.5000 0.5000 0.0000  4 Na 3.61, 8 Zn 3.88



3.
Density functional theory data (PBE) for a relaxed La6CoRhPb2 crystal.

The crystal system is triclinic. For the formation energy, the calculation gives -0.474 eV/atom.

a = 7.5274 Å, b = 7.5415 Å, c = 7.7010 Å
α = 118.61°, β = 118.68°, γ = 90.42°
Closest atoms and distances in Å follow each position.
Atoms (fractional coordinates):
La: 0.1844 0.2018 0.4778  1 Co 2.63, 1 Rh 2.81
La: 0.2652 0.7421 0.0047  1 Rh 2.80, 1 Co 2.85
La: 0.2840 0.6900 0.4944  1 Co 2.59, 1 Rh 2.81
La: 0.7160 0.3100 0.5056  1 Co 2.59, 1 Rh 2.81
La: 0.7348 0.2579 0.9953  1 Rh 2.80, 1 Co 2.85
La: 0.8156 0.7982 0.5222  1 Co 2.63, 1 Rh 2.81
Co: 0.0000 0.5000 0.5000  6 La 2.59-2.85
Rh: 0.5000 0.0000 0.5000  6 La 2.80-2.81
Pb: 0.2495 0.2508 0.0015  8 La 3.48-3.85
Pb: 0.7505 0.7492 0.9985  8 La 3.48-3.85



4.
Density functional theory data (PBE) for a relaxed Ca7In2Si2 crystal.

The crystal system is orthorhombic. For the uncorrected formation energy, the calculation gives -288 meV/atom.

a = 7.1363 Å, b = 7.1363 Å, c = 7.4635 Å
α = 90.00°, β = 90.00°, γ = 106.91°
Closest atoms and distances in Å follow each position.
Atoms (fractional coordinates):
Ca: 0.0000 0.0000 0.0000  2 Si 3.37
Ca: 0.0000 0.5000 0.2563  2 Si 2.90
Ca: 0.0000 0.5000 0.7437  2 Si 2.90
Ca: 0.5000 0.0000 0.2563  2 Si 2.90
Ca: 0.5000 0.0000 0.7437  2 Si 2.90
Ca: 0.5000 0.5000 0.2433  2 Si 2.98
Ca: 0.5000 0.5000 0.7567  2 Si 2.98
In: 0.1696 0.1696 0.5000  1 In 2.88
In: 0.8304 0.8304 0.5000  1 In 2.88
Si: 0.2942 0.7058 0.0000  6 Ca 2.90-2.98
Si: 0.7058 0.2942 0.0000  6 Ca 2.90-2.98